1.
NdAg2OsO6: relaxed, PBE.

Structure (extended XYZ):
```
20
Lattice="5.752 0.000 0.000 0.000 5.777 0.000 -5.627 0.000 8.311" Properties=species:S:1:pos:R:3 pbc="T T T"
Nd 0.000 0.000 0.000
Nd -2.813 2.888 4.156
Ag -2.820 0.084 6.241
Ag -0.007 2.804 2.085
Ag 0.132 2.973 6.226
Ag 2.946 5.692 2.070
Os 0.063 0.000 4.156
Os 2.876 2.888 0.000
O -0.451 0.233 2.315
O -3.264 2.655 6.471
O 1.238 3.797 0.349
O -1.575 4.868 4.504
O 2.017 1.239 0.398
O -0.796 1.650 4.554
O 0.921 4.127 3.757
O -1.892 4.538 7.913
O 1.701 0.909 3.807
O -1.113 1.980 7.962
O 3.389 3.122 1.840
O 0.576 5.543 5.996
```

Calculated values
calculated total energy = -127.936 eV for the cell shown
crystal system = monoclinic
space group = P2_1/c, No. 14
energy relative to the elements, uncorrected = -1.2519 eV per atom



2.
HoSc3Ga3: relaxed, PBE.

Structure (extended XYZ):
```
14
Lattice="8.639 0.000 0.000 -4.319 7.481 0.000 0.000 0.000 4.573" Properties=species:S:1:pos:R:3 pbc="T T T"
Ho 0.000 4.987 1.143
Ho 4.319 2.494 3.430
Sc -0.953 1.821 3.430
Sc -2.266 7.396 3.430
Sc 1.101 1.736 1.143
Sc 3.218 5.745 3.430
Sc 6.585 0.086 1.143
Sc 5.272 5.660 1.143
Ga -2.107 4.596 3.430
Ga 1.393 3.358 3.430
Ga 3.605 0.473 1.143
Ga 0.714 7.008 3.430
Ga 2.927 4.123 1.143
Ga 6.426 2.885 1.143
```

Calculated values
calculated total energy = -72.060 eV for the cell shown
formation enthalpy at 0 K = -3.38 eV/f.u.
crystal system = hexagonal
space group = P6_3/m, No. 176



3.
AlGa2O: relaxed, PBE.

Structure (extended XYZ):
```
4
Lattice="0.000 3.161 3.161 3.161 0.000 3.161 3.161 3.161 0.000" Properties=species:S:1:pos:R:3 pbc="T T T"
Al 0.000 0.000 0.000
Ga 1.581 1.581 1.581
Ga 4.742 4.742 4.742
O 3.161 3.161 3.161
```

Calculated values
offset from the most stable computed form = 0.520 eV/atom
calculated total energy = -14.226 eV for the cell shown
crystal system = cubic
space group = Fm-3m, No. 225
energy relative to the elements, uncorrected = 0.1320 eV per atom



4.
Tl2GaN: relaxed, PBE.

Structure (extended XYZ):
```
8
Lattice="-3.185 3.185 4.916 3.185 -3.185 4.916 3.185 3.185 -4.916" Properties=species:S:1:pos:R:3 pbc="T T T"
Tl 4.777 1.158 -1.229
Tl 1.158 1.592 1.229
Tl -1.592 2.026 3.687
Tl 2.026 1.592 6.144
Ga 3.185 0.000 2.458
Ga 0.000 0.000 4.916
N 0.000 0.000 0.000
N 0.000 3.185 2.458
```

Calculated values
offset from the most stable computed form = 0.000 eV/atom
calculated total energy = -26.796 eV for the cell shown
crystal system = tetragonal
space group = I-42d, No. 122
energy relative to the elements, uncorrected = 0.6717 eV per atom